No. 1
## Y2AlAg (GGA-PBEsol)

Data for a relaxed Y2AlAg crystal.

The structure in CIF format:
```
data_Y2AlAg
_chemical_formula_sum 'Y2 Al1 Ag1'
_space_group_name_H-M_alt 'P 1'
_space_group_IT_number 1
_cell_length_a 3.627
_cell_length_b 4.582
_cell_length_c 5.975
_cell_angle_alpha 90.00
_cell_angle_beta 107.92
_cell_angle_gamma 90.00
loop_
_space_group_symop_operation_xyz
'x,y,z'
loop_
_atom_site_label
_atom_site_type_symbol
_atom_site_fract_x
_atom_site_fract_y
_atom_site_fract_z
Y1 Y 0.028 0.000 0.929
Y2 Y 0.720 0.500 0.317
Al1 Al 0.447 0.500 0.767
Ag1 Ag 0.305 0.000 0.487
```

The value obtained for the energy of formation is -0.349 eV/atom.

---

No. 2
## Zn2InPtCl (GGA-PBEsol)

Data for a relaxed Zn2InPtCl crystal.

The structure in CIF format:
```
data_Zn2InPtCl
_chemical_formula_sum 'Zn2 In1 Pt1 Cl1'
_space_group_name_H-M_alt 'P 1'
_space_group_IT_number 1
_cell_length_a 4.632
_cell_length_b 4.754
_cell_length_c 4.754
_cell_angle_alpha 90.00
_cell_angle_beta 90.00
_cell_angle_gamma 90.00
loop_
_space_group_symop_operation_xyz
'x,y,z'
loop_
_atom_site_label
_atom_site_type_symbol
_atom_site_fract_x
_atom_site_fract_y
_atom_site_fract_z
Zn1 Zn 0.000 0.000 0.500
Zn2 Zn 0.000 0.500 0.000
Cl1 Cl 0.000 0.000 0.000
Pt1 Pt 0.500 0.000 0.000
In1 In 0.500 0.500 0.500
```

---

Q: Which calculated total energy values were calculated for the entries above? A: -5.611; -2.403, in eV/atom.